1.
A plane-wave DFT calculation with GGA-PBE was carried out for HfGaIN2 after structural relaxation.

```
HfGaIN2
1.0
-0.453 1.368 -3.966
2.194 -3.323 -1.397
-5.107 -3.160 -0.506
I Ga N Hf
1 1 2 1
Cartesian
-2.553 -1.580 -0.253
-1.683 -2.557 -2.934
-0.227 0.684 -1.983
1.097 -1.662 -0.698
0.000 0.000 0.000
```

Properties
D(E_F) = 0.631 states/eV/atom
symmetry = P4/mmm, No. 123
formation energy without anion corrections = 0.2460 eV per atom
size of the total moment = 0.6 μB per cell


2.
A plane-wave DFT calculation with GGA-PBE was carried out for Ti3Mn2Pt after structural relaxation.

```
Ti3Mn2Pt
1.0
-0.624 -1.726 -2.425
2.503 -1.646 0.527
-4.821 -5.647 5.260
Ti Mn Pt
3 2 1
Cartesian
-1.520 -1.780 1.658
0.000 0.000 0.000
-3.302 -3.867 3.602
-3.080 -6.393 3.436
0.137 -2.626 -0.073
-1.472 -4.509 1.681
```

Properties
D(E_F) = 0.645 states/eV/atom
symmetry = P4/mmm, No. 123
size of the total moment = 0.0 μB per cell
ΔE_f = -52 kJ per mole of atoms


3.
A plane-wave DFT calculation with GGA-PBE was carried out for Y2Al8Ag after structural relaxation.

```
Y2Al8Ag
1.0
4.347 0.000 0.000
0.000 4.347 0.000
0.000 0.000 11.280
Al Ag Y
8 1 2
Cartesian
2.173 2.173 3.450
2.173 2.173 7.830
2.173 0.000 1.483
0.000 2.173 1.483
0.000 2.173 9.797
2.173 0.000 9.797
0.000 2.173 5.640
2.173 0.000 5.640
0.000 0.000 0.000
0.000 0.000 7.720
0.000 0.000 3.560
```

Properties
D(E_F) = 0.342 states/eV/atom
symmetry = P4/mmm, No. 123
size of the total moment = 0.0 μB per cell
ΔE_f = -27 kJ per mole of atoms